[1]
A geometry-optimized MgCo2Se structure, computed with GGA-PBE.

As for the crystal system: cubic. As for the uncorrected formation energy: 0.26 eV/atom. For the volume, the calculation gives 233 Å³/cell. The final energy comes out at -4.56 eV/atom.

The space group is F-43m (No. 216) and the conventional cell measures 6.153, 6.153 and 6.153 Å, with angles of 90.00, 90.00 and 90.00 degrees. The asymmetric unit holds Mg at (0.000, 0.000, 0.000), Co at (0.000, 0.000, 0.500), Co at (0.250, 0.250, 0.250) and Se at (0.250, 0.250, 0.750).

***

[2]
A geometry-optimized MgCo2Se structure, computed with GGA-PBE.

As for the crystal system: cubic. As for the uncorrected formation energy: 0.16 eV/atom. For the volume, the calculation gives 213 Å³/cell. The final energy comes out at -4.67 eV/atom.

The space group is Fm-3m (No. 225) and the conventional cell measures 5.969, 5.969 and 5.969 Å, with angles of 90.00, 90.00 and 90.00 degrees. The asymmetric unit holds Mg at (0.000, 0.000, 0.000), Co at (0.250, 0.250, 0.250) and Se at (0.000, 0.000, 0.500).

***

[3]
A geometry-optimized MgCo2Se2 structure, computed with GGA-PBE.

As for the crystal system: tetragonal. As for the uncorrected formation energy: -0.05 eV/atom. For the volume, the calculation gives 163 Å³/cell. The final energy comes out at -4.61 eV/atom.

The space group is I4/mmm (No. 139) and the conventional cell measures 4.588, 4.588 and 7.737 Å, with angles of 90.00, 90.00 and 90.00 degrees. The asymmetric unit holds Mg at (0.000, 0.000, 0.000), Co at (0.000, 0.000, 0.347) and Se at (0.000, 0.500, 0.250).

***

[4]
A geometry-optimized MgCo2Se structure, computed with GGA-PBE.

As for the crystal system: tetragonal. As for the uncorrected formation energy: 0.05 eV/atom. For the volume, the calculation gives 60 Å³/cell. The final energy comes out at -4.77 eV/atom.

The space group is P4mm (No. 99) and the conventional cell measures 3.145, 3.145 and 6.032 Å, with angles of 90.00, 90.00 and 90.00 degrees. The asymmetric unit holds Mg at (0.000, 0.000, 0.000), Co at (0.000, 0.000, 0.528), Co at (0.500, 0.500, 0.749) and Se at (0.500, 0.500, 0.360).

***

> Among the records above, which one has the highest uncorrected formation energy?

number 1